[1]
First-principles (PBE) data for Th2CuHgRu after structural relaxation, as listed in Alexandria via LeMat-Bulk.

a = 4.142 Å, b = 7.379 Å, c = 8.235 Å
α = 108.56°, β = 90.00°, γ = 90.00°
Fractional coordinates of all 10 atoms:
Ru: 0.750 0.135 0.107
Ru: 0.250 0.865 0.893
Th: 0.750 0.861 0.653
Th: 0.250 0.139 0.347
Th: 0.250 0.278 0.961
Th: 0.750 0.722 0.039
Hg: 0.250 0.679 0.331
Hg: 0.750 0.321 0.669
Cu: 0.750 0.450 0.372
Cu: 0.250 0.550 0.628

Formation enthalpy at 0 K (kJ per mole of atoms): -27.5
Calculated density (g/cm3): 11.5

---

[2]
First-principles (PBE) data for CuHgS2 after structural relaxation, as listed in Alexandria via LeMat-Bulk.

a = 3.675 Å, b = 3.675 Å, c = 6.685 Å
α = 90.00°, β = 90.00°, γ = 120.00°
Fractional coordinates of all 4 atoms:
Cu: 0.000 0.000 0.976
S: 0.667 0.333 0.201
S: 0.333 0.667 0.824
Hg: 0.333 0.667 0.454

Formation energy from raw total energies (kJ/mol of formula units): 5.1
Calculated density (g/cm3): 7.0

---

no.,DOS at the Fermi energy (states/eV/f.u.),E (eV per atom)
1,3.72,-5.99
2,3.07,-3.15